Material: NbGa2Rh
Method: DFT, PBE
State: optimized geometry

a b c (Å): 3.0022 3.0022 6.8154
angles (deg): 90.00 90.00 90.00
Space group P4/mmm (No. 123)
Unique sites:
Nb1 0.0000 0.0000 0.0000 [1 per cell]
Ga1 0.5000 0.5000 0.2767 [2 per cell]
Rh1 0.0000 0.0000 0.5000 [1 per cell]

Calculated values
Crystal system: tetragonal



Material: Nb2Ga2Rh7
Method: DFT, PBE
State: optimized geometry

a b c (Å): 5.3587 5.5696 6.1570
angles (deg): 101.66 104.61 93.94
Space group P-1 (No. 2)
Unique sites:
Nb1 0.0024 0.3024 0.2848 [2 per cell]
Ga1 0.3857 0.1395 0.6790 [2 per cell]
Rh1 0.0938 0.8072 0.3436 [2 per cell]
Rh2 0.2733 0.0429 0.0491 [2 per cell]
Rh3 0.2731 0.5241 0.0271 [2 per cell]
Rh4 0.5000 0.5000 0.5000 [1 per cell]

Calculated values
Crystal system: triclinic



Material: Nb2GaRh
Method: DFT, PBE
State: optimized geometry

a b c (Å): 2.9008 2.9008 27.4570
angles (deg): 90.00 90.00 120.00
Space group R-3m (No. 166, hexagonal axes)
Unique sites:
Nb1 0.0000 0.0000 0.2482 [6 per cell]
Ga1 0.0000 0.0000 0.0000 [3 per cell]
Rh1 0.0000 0.0000 0.5000 [3 per cell]

Calculated values
Crystal system: trigonal



Material: Nb2Ga2Rh3
Method: DFT, PBE
State: optimized geometry

a b c (Å): 3.7470 4.8947 6.4651
angles (deg): 94.60 90.06 112.47
Space group P-1 (No. 2)
Unique sites:
Nb1 0.1378 0.2733 0.4278 [2 per cell]
Ga1 0.4188 0.8373 0.2421 [2 per cell]
Rh1 0.0000 0.0000 0.0000 [1 per cell]
Rh2 0.2869 0.5732 0.8412 [2 per cell]

Calculated values
Crystal system: triclinic



Material: Nb4GaRh5
Method: DFT, PBE
State: optimized geometry

a b c (Å): 2.8679 3.8194 14.3547
angles (deg): 90.00 90.00 90.00
Space group Pmmm (No. 47)
Unique sites:
Nb1 0.0000 0.0000 0.0985 [2 per cell]
Nb2 0.0000 0.0000 0.3014 [2 per cell]
Ga1 0.0000 0.0000 0.5000 [1 per cell]
Rh1 0.5000 0.5000 0.0000 [1 per cell]
Rh2 0.5000 0.5000 0.2017 [2 per cell]
Rh3 0.5000 0.5000 0.4047 [2 per cell]

Calculated values
Crystal system: orthorhombic



Material: Nb2GaRh6
Method: DFT, PBE
State: optimized geometry

a b c (Å): 4.1926 6.0373 12.3263
angles (deg): 90.00 90.00 90.00
Space group Immm (No. 71)
Unique sites:
Nb1 0.0000 0.0000 0.1602 [4 per cell]
Ga1 0.0000 0.0000 0.5000 [2 per cell]
Rh1 0.0000 0.2461 0.3341 [8 per cell]
Rh2 0.0000 0.2651 0.0000 [4 per cell]

Calculated values
Crystal system: orthorhombic



Material: Nb2Ga3Rh4
Method: DFT, PBE
State: optimized geometry

a b c (Å): 8.6066 3.9739 8.3556
angles (deg): 90.00 106.67 90.00
Space group C2/m (No. 12)
Unique sites:
Nb1 0.1827 0.0000 0.2205 [4 per cell]
Ga1 0.0000 0.5000 0.0000 [2 per cell]
Ga2 0.1518 0.0000 0.5658 [4 per cell]
Rh1 0.0255 0.5000 0.3356 [4 per cell]
Rh2 0.1542 0.0000 0.8948 [4 per cell]

Calculated values
Crystal system: monoclinic



Material: Nb2GaRh
Method: DFT, PBE
State: optimized geometry

a b c (Å): 2.8744 4.0978 5.5120
angles (deg): 90.00 90.37 90.00
Space group P2/m (No. 10)
Unique sites:
Nb1 0.0020 0.0000 0.2478 [2 per cell]
Ga1 0.5000 0.5000 0.5000 [1 per cell]
Rh1 0.5000 0.5000 0.0000 [1 per cell]

Calculated values
Crystal system: monoclinic



Material: NbGa2Rh
Method: DFT, PBE
State: optimized geometry

a b c (Å): 2.9632 2.9632 25.3346
angles (deg): 90.00 90.00 120.00
Space group R3m (No. 160, hexagonal axes)
Unique sites:
Nb1 0.0000 0.0000 0.0000 [3 per cell]
Ga1 0.0000 0.0000 0.5766 [3 per cell]
Ga2 0.0000 0.0000 0.7557 [3 per cell]
Rh1 0.0000 0.0000 0.1660 [3 per cell]

Calculated values
Crystal system: trigonal



Material: Nb3GaRh4
Method: DFT, PBE
State: optimized geometry

a b c (Å): 9.1331 5.6826 4.8156
angles (deg): 90.00 90.00 90.00
Space group Pmma (No. 51)
Unique sites:
Nb1 0.0000 0.0000 0.0000 [2 per cell]
Nb2 0.2500 0.0000 0.3802 [2 per cell]
Nb3 0.2500 0.5000 0.3664 [2 per cell]
Ga1 0.0000 0.5000 0.0000 [2 per cell]
Rh1 0.0000 0.2525 0.5000 [4 per cell]
Rh2 0.2500 0.2557 0.8693 [4 per cell]

Calculated values
Crystal system: orthorhombic



Material: NbGa2Rh
Method: DFT, PBE
State: optimized geometry

a b c (Å): 7.0190 7.0190 5.4895
angles (deg): 90.00 90.00 90.00
Space group I-42d (No. 122)
Unique sites:
Nb1 0.0000 0.0000 0.0000 [4 per cell]
Ga1 0.2263 0.2500 0.6250 [8 per cell]
Rh1 0.0000 0.0000 0.5000 [4 per cell]

Calculated values
Crystal system: tetragonal



Material: Nb2GaRh3
Method: DFT, PBE
State: optimized geometry

a b c (Å): 4.1044 12.2098 3.7340
angles (deg): 90.00 90.00 90.00
Space group Pmmn (No. 59, origin choice 2)
Unique sites:
Nb1 0.2500 0.0846 0.0023 [4 per cell]
Ga1 0.2500 0.7500 0.9996 [2 per cell]
Rh1 0.2500 0.2500 0.5033 [2 per cell]
Rh2 0.2500 0.5827 0.5007 [4 per cell]

Calculated values
ΔE to the lowest computed polymorph (meV/atom): 0
Crystal system: orthorhombic



Material: Nb6GaRh
Method: DFT, PBE
State: optimized geometry

a b c (Å): 7.3353 7.3353 8.9886
angles (deg): 90.00 90.00 120.00
Space group R-3 (No. 148, hexagonal axes)
Unique sites:
Nb1 0.0009 0.2511 0.2518 [18 per cell]
Ga1 0.0000 0.0000 0.0000 [3 per cell]
Rh1 0.0000 0.0000 0.5000 [3 per cell]

Calculated values
Crystal system: trigonal



Material: NbGa2Rh
Method: DFT, PBE
State: optimized geometry

a b c (Å): 4.0171 4.0171 3.8616
angles (deg): 90.00 90.00 90.00
Space group P4/mmm (No. 123)
Unique sites:
Nb1 0.0000 0.0000 0.0000 [1 per cell]
Ga1 0.0000 0.5000 0.5000 [2 per cell]
Rh1 0.5000 0.5000 0.0000 [1 per cell]

Calculated values
Crystal system: tetragonal



Material: NbGa2Rh
Method: DFT, PBE
State: optimized geometry

a b c (Å): 6.2923 6.2923 6.2923
angles (deg): 90.00 90.00 90.00
Space group Fm-3m (No. 225)
Unique sites:
Nb1 0.0000 0.0000 0.0000 [4 per cell]
Ga1 0.2500 0.2500 0.2500 [8 per cell]
Rh1 0.0000 0.0000 0.5000 [4 per cell]

Calculated values
Crystal system: cubic



Material: NbGa2Rh4
Method: DFT, PBE
State: optimized geometry

a b c (Å): 4.7633 4.7633 12.3576
angles (deg): 90.00 90.00 90.00
Space group I4/mmm (No. 139)
Unique sites:
Nb1 0.0000 0.0000 0.0000 [2 per cell]
Ga1 0.0000 0.0000 0.3897 [4 per cell]
Rh1 0.0000 0.0000 0.1916 [4 per cell]
Rh2 0.0000 0.5000 0.0000 [4 per cell]

Calculated values
Crystal system: tetragonal



Material: Nb2GaRh
Method: DFT, PBE
State: optimized geometry

a b c (Å): 3.9539 3.9539 4.1641
angles (deg): 90.00 90.00 90.00
Space group P4/mmm (No. 123)
Unique sites:
Nb1 0.0000 0.5000 0.0000 [2 per cell]
Ga1 0.0000 0.0000 0.5000 [1 per cell]
Rh1 0.5000 0.5000 0.5000 [1 per cell]

Calculated values
Crystal system: tetragonal



Material: NbGa2Rh
Method: DFT, PBE
State: optimized geometry

a b c (Å): 4.1439 4.1439 12.8724
angles (deg): 90.00 90.00 120.00
Space group R-3m (No. 166, hexagonal axes)
Unique sites:
Nb1 0.0000 0.0000 0.0000 [3 per cell]
Ga1 0.0000 0.0000 0.2316 [6 per cell]
Rh1 0.0000 0.0000 0.5000 [3 per cell]

Calculated values
Crystal system: trigonal



Material: Nb2GaRh8
Method: DFT, PBE
State: optimized geometry

a b c (Å): 4.3674 5.7485 13.4048
angles (deg): 90.00 90.00 90.00
Space group Immm (No. 71)
Unique sites:
Nb1 0.0000 0.0000 0.1933 [4 per cell]
Ga1 0.0000 0.0000 0.5000 [2 per cell]
Rh1 0.0000 0.2340 0.0000 [4 per cell]
Rh2 0.0000 0.2651 0.3606 [8 per cell]
Rh3 0.0000 0.5000 0.1781 [4 per cell]

Calculated values
Crystal system: orthorhombic



Material: NbGa2SbRh
Method: DFT, PBE
State: optimized geometry

a b c (Å): 5.0297 5.0297 4.7573
angles (deg): 90.00 90.00 90.00
Space group P4/mmm (No. 123)
Unique sites:
Nb1 0.0000 0.0000 0.0000 [1 per cell]
Ga1 0.0000 0.5000 0.0000 [2 per cell]
Sb1 0.5000 0.5000 0.5000 [1 per cell]
Rh1 0.0000 0.0000 0.5000 [1 per cell]

Calculated values
Crystal system: tetragonal
Energy relative to the elements, uncorrected (eV/f.u.): 3.34



Material: SrNb2GaRh
Method: DFT, PBE
State: optimized geometry

a b c (Å): 4.8505 4.8505 5.6796
angles (deg): 90.00 90.00 90.00
Space group P4/mmm (No. 123)
Unique sites:
Sr1 0.0000 0.0000 0.0000 [1 per cell]
Nb1 0.0000 0.5000 0.5000 [2 per cell]
Ga1 0.5000 0.5000 0.0000 [1 per cell]
Rh1 0.0000 0.0000 0.5000 [1 per cell]

Calculated values
Crystal system: tetragonal



Material: Tb2NbGa2Rh5
Method: DFT, PBE
State: optimized geometry

a b c (Å): 9.8640 9.8640 3.5581
angles (deg): 90.00 90.00 90.00
Space group P4/mbm (No. 127)
Unique sites:
Tb1 0.1725 0.3275 0.0000 [4 per cell]
Nb1 0.0000 0.0000 0.0000 [2 per cell]
Ga1 0.1254 0.6254 0.0000 [4 per cell]
Rh1 0.0000 0.5000 0.5000 [2 per cell]
Rh2 0.0657 0.7982 0.5000 [8 per cell]

Calculated values
Crystal system: tetragonal



Material: Nb2GaTcRh
Method: DFT, PBE
State: optimized geometry

a b c (Å): 4.7889 4.7889 4.6837
angles (deg): 90.00 90.00 90.00
Space group P4/mmm (No. 123)
Unique sites:
Nb1 0.0000 0.5000 0.0000 [2 per cell]
Ga1 0.0000 0.0000 0.5000 [1 per cell]
Tc1 0.5000 0.5000 0.5000 [1 per cell]
Rh1 0.5000 0.5000 0.0000 [1 per cell]

Calculated values
Crystal system: tetragonal



Material: NbGaTc2Rh
Method: DFT, PBE
State: optimized geometry

a b c (Å): 4.6768 4.6768 4.7733
angles (deg): 90.00 90.00 90.00
Space group P4/mmm (No. 123)
Unique sites:
Nb1 0.0000 0.0000 0.0000 [1 per cell]
Ga1 0.5000 0.5000 0.0000 [1 per cell]
Tc1 0.0000 0.5000 0.5000 [2 per cell]
Rh1 0.0000 0.0000 0.5000 [1 per cell]

Calculated values
Crystal system: tetragonal



Material: Ti2NbGaRh
Method: DFT, PBE
State: optimized geometry

a b c (Å): 4.6428 4.6428 4.6172
angles (deg): 90.00 90.00 90.00
Space group P4/mmm (No. 123)
Unique sites:
Ti1 0.0000 0.5000 0.0000 [2 per cell]
Nb1 0.0000 0.0000 0.5000 [1 per cell]
Ga1 0.5000 0.5000 0.5000 [1 per cell]
Rh1 0.5000 0.5000 0.0000 [1 per cell]

Calculated values
Crystal system: tetragonal



| no. | DFT total energy (eV/atom) | V (Å³ per atom) |
| --- | --- | --- |
| 1 | -6.33 | 15.36 |
| 2 | -7.38 | 15.70 |
| 3 | -7.79 | 16.67 |
| 4 | -7.24 | 15.59 |
| 5 | -8.47 | 15.72 |
| 6 | -7.64 | 17.33 |
| 7 | -7.03 | 15.21 |
| 8 | -8.02 | 16.23 |
| 9 | -6.18 | 16.05 |
| 10 | -8.30 | 15.62 |
| 11 | -5.99 | 16.90 |
| 12 | -7.96 | 15.59 |
| 13 | -9.11 | 17.45 |
| 14 | -6.24 | 15.58 |
| 15 | -6.14 | 15.57 |
| 16 | -5.96 | 20.03 |
| 17 | -7.99 | 16.27 |
| 18 | -6.19 | 15.95 |
| 19 | -7.77 | 15.30 |
| 20 | -4.85 | 24.07 |
| 21 | -5.65 | 26.73 |
| 22 | -6.95 | 17.31 |
| 23 | -7.02 | 21.48 |
| 24 | -6.80 | 20.88 |
| 25 | -6.77 | 19.91 |